Entry 1:
# Cr2PtRh2

A geometry-optimized Cr2PtRh2 structure (PBE, the Alexandria database).

## Properties
Calculated formation energy: 0.01 eV/atom
Spin magnetization: 0.00 μB per formula unit

Cell lengths 7.1781, 7.1781, 2.6889 Å; angles 90.00, 90.00, 90.00 degrees
Space group P4/mbm (No. 127)
Inequivalent atoms, fractional coordinates:
Cr  0.1679  0.3321  0.0000 (multiplicity 4)
Pt  0.0000  0.0000  0.5000 (multiplicity 2)
Rh  0.1294  0.6294  0.5000 (multiplicity 4)

Entry 2:
# CrPt3Rh6

A geometry-optimized CrPt3Rh6 structure (PBE, the Alexandria database).

## Properties
Calculated formation energy: 0.18 eV/atom
Spin magnetization: 0.00 μB per formula unit

Cell lengths 5.0493, 5.0493, 6.8326 Å; angles 90.00, 90.00, 120.00 degrees
Space group P-31m (No. 162)
Inequivalent atoms, fractional coordinates:
Cr  0.0000  0.0000  0.0000 (multiplicity 1)
Pt  0.0000  0.0000  0.5000 (multiplicity 1)
Pt  0.3333  0.6667  0.5000 (multiplicity 2)
Rh  0.0000  0.3883  0.8201 (multiplicity 6)

Entry 3:
# Cr2Pt2Rh

A geometry-optimized Cr2Pt2Rh structure (PBE, the Alexandria database).

## Properties
Calculated formation energy: 0.07 eV/atom
Spin magnetization: 0.42 μB per formula unit

Cell lengths 7.2478, 7.2478, 2.7211 Å; angles 90.00, 90.00, 90.00 degrees
Space group P4/mbm (No. 127)
Inequivalent atoms, fractional coordinates:
Cr  0.1139  0.3861  0.0000 (multiplicity 4)
Pt  0.1769  0.6769  0.5000 (multiplicity 4)
Rh  0.0000  0.0000  0.0000 (multiplicity 2)

- Look up the spin magnetization of the second one.
  0.00 μB per formula unit

Please write out number 2 again, unchanged.
# CrPt3Rh6

A geometry-optimized CrPt3Rh6 structure (PBE, the Alexandria database).

## Properties
Calculated formation energy: 0.18 eV/atom
Spin magnetization: 0.00 μB per formula unit

Cell lengths 5.0493, 5.0493, 6.8326 Å; angles 90.00, 90.00, 120.00 degrees
Space group P-31m (No. 162)
Inequivalent atoms, fractional coordinates:
Cr  0.0000  0.0000  0.0000 (multiplicity 1)
Pt  0.0000  0.0000  0.5000 (multiplicity 1)
Pt  0.3333  0.6667  0.5000 (multiplicity 2)
Rh  0.0000  0.3883  0.8201 (multiplicity 6)